[1]
This record from Alexandria via LeMat-Bulk describes a geometry-optimized CeCo7C2 structure. The functional is PBE.

Calculated volume: 11.94 A^3/atom
Size of the total moment: 6.1 μB per cell
DOS at the Fermi energy: 11.69 states/eV/cell
Calculated formation energy: 0.20 eV/atom
Space group: Cmmm

a = 5.8848 Å, b = 5.8848 Å, c = 3.8641 Å
α = 90.00°, β = 90.00°, γ = 116.81°
With the nearest neighbours (Å) after each atom.
Fractional positions:
Ce  0.0000  0.0000  0.0000  8 Co 2.68
Co  0.0525  0.3347  0.5000  2 C 1.97-2.02
Co  0.2991  0.7009  0.0000  2 C 1.93
Co  0.3347  0.0525  0.5000  2 C 1.97-2.02
Co  0.5000  0.5000  0.5000  2 C 1.97
Co  0.6653  0.9475  0.5000  2 C 1.97-2.02
Co  0.7009  0.2991  0.0000  2 C 1.93
Co  0.9475  0.6653  0.5000  2 C 1.97-2.02
C  0.3034  0.6966  0.5000  7 Co 1.93-2.02
C  0.6966  0.3034  0.5000  7 Co 1.93-2.02



[2]
This record from Alexandria via LeMat-Bulk describes a geometry-optimized AlGaBi structure. The functional is PBE.

Calculated volume: 23.50 A^3/atom
Size of the total moment: 0.0 μB per cell
DOS at the Fermi energy: 2.19 states/eV/cell
Calculated formation energy: 0.14 eV/atom
Polymorph energy (0 for the lowest one): 37.9 meV/atom
Space group: P1

a = 3.2235 Å, b = 6.4305 Å, c = 7.3774 Å
α = 72.05°, β = 84.07°, γ = 75.83°
With the nearest neighbours (Å) after each atom.
Fractional positions:
Al  0.0000  0.0000  0.0000  2 Al 2.83-2.84, 3 Ga 2.88-3.01, 2 Bi 3.02-3.09
Al  0.3371  0.2491  0.1830  2 Al 2.83-2.84, 4 Ga 2.86-2.91, 2 Bi 3.00-3.13
Ga  0.6568  0.6129  0.2268  4 Al 2.86-3.01, 2 Ga 2.88-2.96
Ga  0.9600  0.8808  0.4102  4 Ga 2.88-3.22, 3 Al 2.88-2.91, 2 Bi 3.06-3.22
Bi  0.2423  0.6247  0.8180  2 Al 3.00-3.02, 1 Ga 3.06, 3 Bi 3.22-3.24
Bi  0.3712  0.2371  0.6081  3 Al 3.09-3.43, 2 Ga 3.22-3.31, 3 Bi 3.22-3.24



Please write out number 1 again, unchanged.
This record from Alexandria via LeMat-Bulk describes a geometry-optimized CeCo7C2 structure. The functional is PBE.

Calculated volume: 11.94 A^3/atom
Size of the total moment: 6.1 μB per cell
DOS at the Fermi energy: 11.69 states/eV/cell
Calculated formation energy: 0.20 eV/atom
Space group: Cmmm

a = 5.8848 Å, b = 5.8848 Å, c = 3.8641 Å
α = 90.00°, β = 90.00°, γ = 116.81°
With the nearest neighbours (Å) after each atom.
Fractional positions:
Ce  0.0000  0.0000  0.0000  8 Co 2.68
Co  0.0525  0.3347  0.5000  2 C 1.97-2.02
Co  0.2991  0.7009  0.0000  2 C 1.93
Co  0.3347  0.0525  0.5000  2 C 1.97-2.02
Co  0.5000  0.5000  0.5000  2 C 1.97
Co  0.6653  0.9475  0.5000  2 C 1.97-2.02
Co  0.7009  0.2991  0.0000  2 C 1.93
Co  0.9475  0.6653  0.5000  2 C 1.97-2.02
C  0.3034  0.6966  0.5000  7 Co 1.93-2.02
C  0.6966  0.3034  0.5000  7 Co 1.93-2.02